1.
# Pt2PbSe

Pt2PbSe at its PBEsol-relaxed geometry (meta-GGA SCAN, the Alexandria database).

Structure (CIF):
```
data_Pt2PbSe
_symmetry_space_group_name_H-M 'P 1'
_symmetry_Int_Tables_number 1
_symmetry_space_group_name_Hall 'P 1'
_cell_length_a 3.278
_cell_length_b 3.278
_cell_length_c 6.845
_cell_angle_alpha 90.00
_cell_angle_beta 90.00
_cell_angle_gamma 90.00
loop_
_atom_site_label
_atom_site_fract_x
_atom_site_fract_y
_atom_site_fract_z
_atom_site_occupancy
Pt1 0.000 0.000 0.211 1
Pt2 0.000 0.000 0.789 1
Pb1 0.500 0.500 0.500 1
Se1 0.500 0.500 0.000 1
```

Properties
Uncorrected energy, eV/atom: -58.82
D(E_F), states/eV/cell: 1.99
Formation energy from raw total energies, eV/atom: 0.24
Total magnetic moment, μB/f.u.: 0.000
Space group: No. 123

2.
# SiPtPb

SiPtPb at its PBEsol-relaxed geometry (meta-GGA SCAN, the Alexandria database).

Structure (CIF):
```
data_SiPtPb
_symmetry_space_group_name_H-M 'P 1'
_symmetry_Int_Tables_number 1
_symmetry_space_group_name_Hall 'P 1'
_cell_length_a 3.596
_cell_length_b 3.596
_cell_length_c 5.543
_cell_angle_alpha 90.00
_cell_angle_beta 90.00
_cell_angle_gamma 120.00
loop_
_atom_site_label
_atom_site_fract_x
_atom_site_fract_y
_atom_site_fract_z
_atom_site_occupancy
Si1 0.000 0.000 0.000 1
Pt1 0.667 0.333 0.197 1
Pb1 0.333 0.667 0.577 1
```

Properties
Uncorrected energy, eV/atom: -52.25
D(E_F), states/eV/cell: 1.30
Formation energy from raw total energies, eV/atom: -0.26
Total magnetic moment, μB/f.u.: 0.000
Space group: No. 156

3.
# SiPt5Pb

SiPt5Pb at its PBEsol-relaxed geometry (meta-GGA SCAN, the Alexandria database).

Structure (CIF):
```
data_SiPt5Pb
_symmetry_space_group_name_H-M 'P 1'
_symmetry_Int_Tables_number 1
_symmetry_space_group_name_Hall 'P 1'
_cell_length_a 3.977
_cell_length_b 3.977
_cell_length_c 7.139
_cell_angle_alpha 90.00
_cell_angle_beta 90.00
_cell_angle_gamma 90.00
loop_
_atom_site_label
_atom_site_fract_x
_atom_site_fract_y
_atom_site_fract_z
_atom_site_occupancy
Si1 0.000 0.000 0.000 1
Pt1 0.000 0.000 0.500 1
Pt2 0.000 0.500 0.199 1
Pt3 0.000 0.500 0.801 1
Pt4 0.500 0.000 0.199 1
Pt5 0.500 0.000 0.801 1
Pb1 0.500 0.500 0.500 1
```

Properties
Uncorrected energy, eV/atom: -62.79
D(E_F), states/eV/cell: 0.93
Formation energy from raw total energies, eV/atom: -0.40
Total magnetic moment, μB/f.u.: 0.000
Space group: No. 123

4.
# SiPt2PbW

SiPt2PbW at its PBEsol-relaxed geometry (meta-GGA SCAN, the Alexandria database).

Structure (CIF):
```
data_SiPt2PbW
_symmetry_space_group_name_H-M 'P 1'
_symmetry_Int_Tables_number 1
_symmetry_space_group_name_Hall 'P 1'
_cell_length_a 4.876
_cell_length_b 4.876
_cell_length_c 4.712
_cell_angle_alpha 90.00
_cell_angle_beta 90.00
_cell_angle_gamma 90.00
loop_
_atom_site_label
_atom_site_fract_x
_atom_site_fract_y
_atom_site_fract_z
_atom_site_occupancy
Si1 0.000 0.000 0.000 1
Pt1 0.000 0.500 0.500 1
Pt2 0.500 0.000 0.500 1
Pb1 0.500 0.500 0.000 1
W1 0.000 0.000 0.500 1
```

Properties
Uncorrected energy, eV/atom: -58.43
D(E_F), states/eV/cell: 3.26
Formation energy from raw total energies, eV/atom: 0.75
Total magnetic moment, μB/f.u.: 0.000
Space group: No. 123

5.
# SrPt3Pb

SrPt3Pb at its PBEsol-relaxed geometry (meta-GGA SCAN, the Alexandria database).

Structure (CIF):
```
data_SrPt3Pb
_symmetry_space_group_name_H-M 'P 1'
_symmetry_Int_Tables_number 1
_symmetry_space_group_name_Hall 'P 1'
_cell_length_a 5.058
_cell_length_b 5.058
_cell_length_c 5.058
_cell_angle_alpha 90.00
_cell_angle_beta 90.00
_cell_angle_gamma 90.00
loop_
_atom_site_label
_atom_site_fract_x
_atom_site_fract_y
_atom_site_fract_z
_atom_site_occupancy
Sr1 0.000 0.000 0.000 1
Pt1 0.000 0.500 0.500 1
Pt2 0.500 0.000 0.500 1
Pt3 0.500 0.500 0.000 1
Pb1 0.500 0.500 0.500 1
```

Properties
Uncorrected energy, eV/atom: -61.49
D(E_F), states/eV/cell: 3.73
Total magnetic moment, μB/f.u.: 0.000
DFT formation energy, meV/atom: 235
Space group: No. 221

6.
# SrPt2Pb2

SrPt2Pb2 at its PBEsol-relaxed geometry (meta-GGA SCAN, the Alexandria database).

Structure (CIF):
```
data_SrPt2Pb2
_symmetry_space_group_name_H-M 'P 1'
_symmetry_Int_Tables_number 1
_symmetry_space_group_name_Hall 'P 1'
_cell_length_a 6.591
_cell_length_b 6.591
_cell_length_c 6.591
_cell_angle_alpha 138.80
_cell_angle_beta 138.80
_cell_angle_gamma 59.68
loop_
_atom_site_label
_atom_site_fract_x
_atom_site_fract_y
_atom_site_fract_z
_atom_site_occupancy
Sr1 0.000 0.000 0.000 1
Pt1 0.387 0.387 0.000 1
Pt2 0.613 0.613 0.000 1
Pb1 0.250 0.750 0.500 1
Pb2 0.750 0.250 0.500 1
```

Properties
Uncorrected energy, eV/atom: -63.39
D(E_F), states/eV/cell: 2.44
Total magnetic moment, μB/f.u.: 0.000
DFT formation energy, meV/atom: -547
Space group: No. 139

7.
# SrPtPb2

SrPtPb2 at its PBEsol-relaxed geometry (meta-GGA SCAN, the Alexandria database).

Structure (CIF):
```
data_SrPtPb2
_symmetry_space_group_name_H-M 'P 1'
_symmetry_Int_Tables_number 1
_symmetry_space_group_name_Hall 'P 1'
_cell_length_a 3.644
_cell_length_b 3.644
_cell_length_c 7.929
_cell_angle_alpha 90.00
_cell_angle_beta 90.00
_cell_angle_gamma 90.00
loop_
_atom_site_label
_atom_site_fract_x
_atom_site_fract_y
_atom_site_fract_z
_atom_site_occupancy
Sr1 0.000 0.000 0.000 1
Pt1 0.500 0.500 0.757 1
Pb1 0.000 0.000 0.587 1
Pb2 0.500 0.500 0.315 1
```

Properties
Uncorrected energy, eV/atom: -61.37
D(E_F), states/eV/cell: 2.22
Total magnetic moment, μB/f.u.: 0.000
DFT formation energy, meV/atom: -361
Space group: No. 99

8.
# SrPtPb2

SrPtPb2 at its PBEsol-relaxed geometry (meta-GGA SCAN, the Alexandria database).

Structure (CIF):
```
data_SrPtPb2
_symmetry_space_group_name_H-M 'P 1'
_symmetry_Int_Tables_number 1
_symmetry_space_group_name_Hall 'P 1'
_cell_length_a 5.599
_cell_length_b 5.599
_cell_length_c 5.599
_cell_angle_alpha 130.12
_cell_angle_beta 130.12
_cell_angle_gamma 73.22
loop_
_atom_site_label
_atom_site_fract_x
_atom_site_fract_y
_atom_site_fract_z
_atom_site_occupancy
Sr1 0.000 0.000 0.000 1
Pt1 0.250 0.750 0.500 1
Pb1 0.500 0.500 0.000 1
Pb2 0.750 0.250 0.500 1
```

Properties
Uncorrected energy, eV/atom: -61.33
D(E_F), states/eV/cell: 2.40
Total magnetic moment, μB/f.u.: 0.000
DFT formation energy, meV/atom: -322
Space group: No. 119

> What is the formula in the first record?

Pt2PbSe

Please write out number 3 again, unchanged.
# SiPt5Pb

SiPt5Pb at its PBEsol-relaxed geometry (meta-GGA SCAN, the Alexandria database).

Structure (CIF):
```
data_SiPt5Pb
_symmetry_space_group_name_H-M 'P 1'
_symmetry_Int_Tables_number 1
_symmetry_space_group_name_Hall 'P 1'
_cell_length_a 3.977
_cell_length_b 3.977
_cell_length_c 7.139
_cell_angle_alpha 90.00
_cell_angle_beta 90.00
_cell_angle_gamma 90.00
loop_
_atom_site_label
_atom_site_fract_x
_atom_site_fract_y
_atom_site_fract_z
_atom_site_occupancy
Si1 0.000 0.000 0.000 1
Pt1 0.000 0.000 0.500 1
Pt2 0.000 0.500 0.199 1
Pt3 0.000 0.500 0.801 1
Pt4 0.500 0.000 0.199 1
Pt5 0.500 0.000 0.801 1
Pb1 0.500 0.500 0.500 1
```

Properties
Uncorrected energy, eV/atom: -62.79
D(E_F), states/eV/cell: 0.93
Formation energy from raw total energies, eV/atom: -0.40
Total magnetic moment, μB/f.u.: 0.000
Space group: No. 123